# 1
Compound: La2Cu3Sn5
Source: Alexandria via LeMat-Bulk
Functional: PBE
Structure: relaxed

a b c (Å): 12.6888 12.6888 8.3150
angles (deg): 90.00 90.00 158.98
Last column: nearest neighbours and their distance in Å.
Fractional positions:
1 La 0.0368 0.9632 0.5000  3 Cu 3.08-3.35, 3 Sn 3.33-3.39
2 La 0.3297 0.6703 0.4517  6 Cu 3.20-3.51, 8 Sn 3.30-3.57
3 La 0.6703 0.3297 0.9517  6 Cu 3.20-3.51, 8 Sn 3.30-3.57
4 La 0.9632 0.0368 0.0000  3 Cu 3.08-3.35, 3 Sn 3.33-3.39
5 Cu 0.0906 0.9094 0.8337  4 Sn 2.61-2.62
6 Cu 0.2583 0.7417 0.8058  5 Sn 2.67-2.76
7 Cu 0.4536 0.5464 0.6509  4 Sn 2.59-2.79
8 Cu 0.5464 0.4536 0.1509  4 Sn 2.59-2.79
9 Cu 0.7417 0.2583 0.3058  5 Sn 2.67-2.76
10 Cu 0.9094 0.0906 0.3337  4 Sn 2.61-2.62
11 Sn 0.0994 0.9006 0.1460  3 Cu 2.61-2.67
12 Sn 0.1692 0.8308 0.6251  2 Cu 2.62-2.68
13 Sn 0.2421 0.7579 0.1347  3 Cu 2.72-2.76
14 Sn 0.3626 0.6374 0.8759  2 Cu 2.67-2.94
15 Sn 0.4585 0.5415 0.3158  4 Cu 2.59-2.79
16 Sn 0.5415 0.4585 0.8158  4 Cu 2.59-2.79
17 Sn 0.6374 0.3626 0.3759  2 Cu 2.67-2.94
18 Sn 0.7579 0.2421 0.6347  3 Cu 2.72-2.76
19 Sn 0.8308 0.1692 0.1251  2 Cu 2.62-2.68
20 Sn 0.9006 0.0994 0.6460  3 Cu 2.61-2.67

Results
SG = Cmc2_1 (36)
Energy of formation = -0.3943 eV/atom
Calculated total energy = -4.610 eV/atom

# 2
Compound: La5Cu2Sn
Source: Alexandria via LeMat-Bulk
Functional: PBE
Structure: relaxed

a b c (Å): 8.9772 8.9772 8.9772
angles (deg): 124.55 124.55 82.29
Last column: nearest neighbours and their distance in Å.
Fractional positions:
1 La 0.0000 0.0000 0.0000  4 Cu 3.29, 2 Sn 3.38
2 La 0.0141 0.5141 0.8138  3 Cu 3.07-3.20
3 La 0.2003 0.0141 0.5000  3 Cu 3.07-3.20
4 La 0.2997 0.7997 0.8138  3 Cu 3.07-3.20
5 La 0.4859 0.2997 0.5000  3 Cu 3.07-3.20
6 La 0.5000 0.5000 0.0000  4 Cu 3.29, 2 Sn 3.38
7 La 0.5141 0.7003 0.5000  3 Cu 3.07-3.20
8 La 0.7003 0.2003 0.1862  3 Cu 3.07-3.20
9 La 0.7997 0.9859 0.5000  3 Cu 3.07-3.20
10 La 0.9859 0.4859 0.1862  3 Cu 3.07-3.20
11 Cu 0.1268 0.3732 0.5000  1 Cu 3.00, 8 La 3.07-3.29
12 Cu 0.3732 0.8732 0.2464  1 Cu 3.00, 8 La 3.07-3.29
13 Cu 0.6268 0.1268 0.7536  1 Cu 3.00, 8 La 3.07-3.29
14 Cu 0.8732 0.6268 0.5000  1 Cu 3.00, 8 La 3.07-3.29
15 Sn 0.2500 0.2500 0.0000  10 La 3.38-3.47
16 Sn 0.7500 0.7500 0.0000  10 La 3.38-3.47

Results
SG = I4/mcm (140)
Energy of formation = -0.3067 eV/atom
Calculated total energy = -4.911 eV/atom

# 3
Compound: La3Cu3Sn4
Source: Alexandria via LeMat-Bulk
Functional: PBE
Structure: relaxed

a b c (Å): 8.6077 8.6077 8.6077
angles (deg): 109.47 109.47 109.47
Last column: nearest neighbours and their distance in Å.
Fractional positions:
1 La 0.1250 0.8750 0.2500  4 Cu 3.04, 4 Sn 3.37
2 La 0.2500 0.1250 0.8750  4 Cu 3.04, 4 Sn 3.37
3 La 0.3750 0.6250 0.7500  4 Cu 3.04, 4 Sn 3.37
4 La 0.6250 0.7500 0.3750  4 Cu 3.04, 4 Sn 3.37
5 La 0.7500 0.3750 0.6250  4 Cu 3.04, 4 Sn 3.37
6 La 0.8750 0.2500 0.1250  4 Cu 3.04, 4 Sn 3.37
7 Cu 0.1250 0.7500 0.8750  4 Sn 2.75, 4 La 3.04
8 Cu 0.2500 0.6250 0.3750  4 Sn 2.75, 4 La 3.04
9 Cu 0.3750 0.2500 0.6250  4 Sn 2.75, 4 La 3.04
10 Cu 0.6250 0.3750 0.2500  4 Sn 2.75, 4 La 3.04
11 Cu 0.7500 0.8750 0.1250  4 Sn 2.75, 4 La 3.04
12 Cu 0.8750 0.1250 0.7500  4 Sn 2.75, 4 La 3.04
13 Sn 0.0000 0.1539 0.5000  3 Cu 2.75
14 Sn 0.0000 0.6539 0.5000  3 Cu 2.75
15 Sn 0.1539 0.5000 0.0000  3 Cu 2.75
16 Sn 0.3461 0.3461 0.3461  3 Cu 2.75
17 Sn 0.5000 0.0000 0.1539  3 Cu 2.75
18 Sn 0.5000 0.0000 0.6539  3 Cu 2.75
19 Sn 0.6539 0.5000 0.0000  3 Cu 2.75
20 Sn 0.8461 0.8461 0.8461  3 Cu 2.75

Results
SG = I-43d (220)
Energy of formation = -0.5663 eV/atom
Calculated total energy = -4.874 eV/atom

# 4
Compound: La2CuSn6
Source: Alexandria via LeMat-Bulk
Functional: PBE
Structure: relaxed

a b c (Å): 4.5550 12.1384 12.1384
angles (deg): 21.55 90.00 90.00
Last column: nearest neighbours and their distance in Å.
Fractional positions:
1 La 0.0000 0.0000 0.0000  10 Sn 3.44-3.81, 4 Cu 3.47
2 La 0.0000 0.3368 0.3368  10 Sn 3.32-3.51
3 Cu 0.5000 0.5548 0.5548  5 Sn 2.53-2.66
4 Sn 0.0000 0.6121 0.6121  2 Cu 2.66, 1 Sn 2.89
5 Sn 0.0000 0.7334 0.7334  5 Sn 2.89-3.22
6 Sn 0.5000 0.1119 0.1119  2 Cu 2.65, 1 Sn 2.90
7 Sn 0.5000 0.2335 0.2335  5 Sn 2.90-3.22
8 Sn 0.5000 0.4489 0.4489  1 Cu 2.53
9 Sn 0.5000 0.8718 0.8718  2 Sn 2.92

Results
SG = Amm2 (38)
Energy of formation = -0.4933 eV/atom
Calculated total energy = -4.712 eV/atom